7
Lattice="-1.616 1.616 4.812 1.616 -1.616 4.812 1.616 1.616 -4.812" Properties=species:S:1:pos:R:3 comment="GGA-PBE Li2NiH4, optimized geometry" e_tot_ev_per_atom=-3.564 pbc="T T T"
Li 0.000 0.000 1.341
Li 0.000 0.000 8.282
Ni 0.000 0.000 4.812
H 1.616 0.000 0.000
H 0.000 0.000 3.231
H 0.000 1.616 0.000
H 0.000 0.000 6.392